Version w
Crystalline AlOs2Cl at its relaxed geometry, computed with PBE.

* calculated density: 12.2 Mg/m³

Cell lengths 2.818, 4.993, 8.589 Å; angles 90.00, 90.00, 90.00 degrees
Space group Cmmm (No. 65)
Symmetry-distinct sites (fractional):
Al 0.000 0.000 0.000 [2 per cell]
Os 0.000 0.500 0.243 [4 per cell]
Cl 0.000 0.000 0.500 [2 per cell]



Version x
Crystalline AlOs2Cl at its relaxed geometry, computed with PBE.

* calculated density: 12.2 Mg/m³

Cell lengths 2.758, 4.907, 8.937 Å; angles 90.00, 90.00, 90.00 degrees
Space group Immm (No. 71)
Symmetry-distinct sites (fractional):
Al 0.000 0.000 0.000 [2 per cell]
Os 0.000 0.500 0.248 [4 per cell]
Cl 0.000 0.000 0.500 [2 per cell]



Version y
Crystalline AlOs2Cl at its relaxed geometry, computed with PBE.

* calculated density: 10.6 Mg/m³

Cell lengths 2.875, 4.954, 9.786 Å; angles 90.00, 90.00, 90.00 degrees
Space group Cmm2 (No. 35)
Symmetry-distinct sites (fractional):
Al 0.000 0.000 0.000 [2 per cell]
Os 0.000 0.000 0.569 [2 per cell]
Os 0.000 0.500 0.789 [2 per cell]
Cl 0.000 0.500 0.185 [2 per cell]



Version z
Crystalline AlOs2Cl at its relaxed geometry, computed with PBE.

* calculated density: 10.3 Mg/m³

Cell lengths 2.8894, 2.8894, 29.6752 Å; angles 90.00, 90.00, 120.00 degrees
Space group R3m (No. 160, hexagonal axes)
Symmetry-distinct sites (fractional):
Al 0.0000 0.0000 0.0000 [3 per cell]
Os 0.0000 0.0000 0.2665 [3 per cell]
Os 0.0000 0.0000 0.5321 [3 per cell]
Cl 0.0000 0.0000 0.7239 [3 per cell]



Stability summary - winner: version z; margin: 34.4 kJ/mol of atoms.



Version w
Crystalline AlOs2Cl at its relaxed geometry, computed with PBE.

* calculated density: 12.6 Mg/m³

Cell lengths 2.8516, 2.8516, 24.9104 Å; angles 90.00, 90.00, 120.00 degrees
Space group R-3m (No. 166, hexagonal axes)
Symmetry-distinct sites (fractional):
Al 0.0000 0.0000 0.0000 [3 per cell]
Os 0.0000 0.0000 0.2515 [6 per cell]
Cl 0.0000 0.0000 0.5000 [3 per cell]



Version x
Crystalline AlOs2Cl at its relaxed geometry, computed with PBE.

* calculated density: 11.7 Mg/m³

Cell lengths 2.882, 2.890, 7.535 Å; angles 90.00, 90.00, 90.00 degrees
Space group Pmm2 (No. 25)
Symmetry-distinct sites (fractional):
Al 0.000 0.000 0.000 [1 per cell]
Os 0.000 0.000 0.444 [1 per cell]
Os 0.500 0.500 0.224 [1 per cell]
Cl 0.000 0.500 0.729 [1 per cell]



Version y
Crystalline AlOs2Cl at its relaxed geometry, computed with PBE.

* calculated density: 12.7 Mg/m³

Cell lengths 6.134, 6.134, 6.134 Å; angles 90.00, 90.00, 90.00 degrees
Space group Fm-3m (No. 225)
Symmetry-distinct sites (fractional):
Al 0.000 0.000 0.000 [4 per cell]
Os 0.250 0.250 0.250 [8 per cell]
Cl 0.000 0.000 0.500 [4 per cell]



Version z
Crystalline AlOs2Cl at its relaxed geometry, computed with PBE.

* calculated density: 11.2 Mg/m³

Cell lengths 2.773, 4.221, 11.231 Å; angles 90.00, 90.00, 90.00 degrees
Space group Imm2 (No. 44)
Symmetry-distinct sites (fractional):
Al 0.000 0.000 0.000 [2 per cell]
Os 0.000 0.000 0.580 [2 per cell]
Os 0.000 0.500 0.274 [2 per cell]
Cl 0.000 0.500 0.798 [2 per cell]



Stability summary - winner: version x; margin: 35.4 kJ/mol of atoms.



Version w
Crystalline AlOs2Cl at its relaxed geometry, computed with PBE.

* calculated density: 12.5 Mg/m³

Cell lengths 2.986, 2.986, 6.621 Å; angles 90.00, 90.00, 90.00 degrees
Space group P4/mmm (No. 123)
Symmetry-distinct sites (fractional):
Al 0.000 0.000 0.000 [1 per cell]
Os 0.500 0.500 0.221 [2 per cell]
Cl 0.000 0.000 0.500 [1 per cell]



Version x
Crystalline AlOs2Cl at its relaxed geometry, computed with PBE.

* calculated density: 11.9 Mg/m³

Cell lengths 2.861, 2.861, 7.581 Å; angles 90.00, 90.00, 90.00 degrees
Space group P4mm (No. 99)
Symmetry-distinct sites (fractional):
Al 0.000 0.000 0.000 [1 per cell]
Os 0.000 0.000 0.549 [1 per cell]
Os 0.500 0.500 0.770 [1 per cell]
Cl 0.500 0.500 0.283 [1 per cell]



Version y
Crystalline AlOs2Cl at its relaxed geometry, computed with PBE.

* calculated density: 9.5 Mg/m³

Cell lengths 5.623, 5.623, 9.831 Å; angles 90.00, 90.00, 90.00 degrees
Space group I-42d (No. 122)
Symmetry-distinct sites (fractional):
Al 0.000 0.000 0.000 [4 per cell]
Os 0.216 0.250 0.625 [8 per cell]
Cl 0.000 0.000 0.500 [4 per cell]



Version z
Crystalline AlOs2Cl at its relaxed geometry, computed with PBE.

* calculated density: 11.9 Mg/m³

Cell lengths 6.267, 6.267, 6.267 Å; angles 90.00, 90.00, 90.00 degrees
Space group F-43m (No. 216)
Symmetry-distinct sites (fractional):
Al 0.000 0.000 0.000 [4 per cell]
Os 0.000 0.000 0.500 [4 per cell]
Os 0.250 0.250 0.750 [4 per cell]
Cl 0.250 0.250 0.250 [4 per cell]



Stability summary - winner: version x; margin: 36.4 kJ/mol of atoms.



Version w
Crystalline AlOs2Cl at its relaxed geometry, computed with PBE.

* calculated density: 12.2 Mg/m³

Cell lengths 2.800, 4.402, 4.873 Å; angles 90.00, 90.00, 90.00 degrees
Space group Pmmm (No. 47)
Symmetry-distinct sites (fractional):
Al 0.000 0.000 0.000 [1 per cell]
Os 0.000 0.500 0.500 [1 per cell]
Os 0.500 0.500 0.000 [1 per cell]
Cl 0.500 0.000 0.500 [1 per cell]



Version x
Crystalline AlOs2Cl at its relaxed geometry, computed with PBE.

* calculated density: 11.8 Mg/m³

Cell lengths 10.399, 2.799, 4.350 Å; angles 90.00, 99.78, 90.00 degrees
Space group C2/m (No. 12)
Symmetry-distinct sites (fractional):
Al 0.000 0.000 0.000 [2 per cell]
Os 0.209 0.500 0.216 [4 per cell]
Cl 0.000 0.500 0.500 [2 per cell]



Stability summary - winner: version x; margin: 28.6 kJ/mol of atoms.



Version w
Crystalline AlOs2Cl at its relaxed geometry, computed with PBE.

* calculated density: 10.9 Mg/m³

Cell lengths 2.917, 3.675, 6.280 Å; angles 90.00, 90.00, 90.00 degrees
Space group Pmmm (No. 47)
Symmetry-distinct sites (fractional):
Al 0.000 0.000 0.000 [1 per cell]
Os 0.500 0.500 0.186 [2 per cell]
Cl 0.500 0.000 0.500 [1 per cell]



Version x
Crystalline AlOs2Cl at its relaxed geometry, computed with PBE.

* calculated density: 12.1 Mg/m³

Cell lengths 9.817, 2.858, 4.368 Å; angles 90.00, 95.72, 90.00 degrees
Space group Cm (No. 8)
Symmetry-distinct sites (fractional):
Al 0.000 0.000 0.000 [2 per cell]
Os 0.244 0.500 0.625 [2 per cell]
Os 0.467 0.000 0.508 [2 per cell]
Cl 0.240 0.000 0.119 [2 per cell]



Stability summary - winner: version w; margin: 13.5 kJ/mol of atoms.



Version w
Crystalline AlPOsCl2 at its relaxed geometry, computed with PBE.

* calculated density: 4.7 Mg/m³

Cell lengths 5.029, 5.029, 4.478 Å; angles 90.00, 90.00, 90.00 degrees
Space group P4/mmm (No. 123)
Symmetry-distinct sites (fractional):
Al 0.000 0.000 0.000 [1 per cell]
P 0.500 0.500 0.000 [1 per cell]
Os 0.500 0.500 0.500 [1 per cell]
Cl 0.000 0.500 0.500 [2 per cell]



Version x
Crystalline AlPOsCl2 at its relaxed geometry, computed with PBE.

* calculated density: 5.2 Mg/m³

Cell lengths 4.431, 4.431, 5.176 Å; angles 90.00, 90.00, 90.00 degrees
Space group P4/mmm (No. 123)
Symmetry-distinct sites (fractional):
Al 0.000 0.000 0.000 [1 per cell]
P 0.000 0.000 0.500 [1 per cell]
Os 0.500 0.500 0.500 [1 per cell]
Cl 0.000 0.500 0.000 [2 per cell]



Stability summary - winner: version w; margin: 45.4 kJ/mol of atoms.



Version w
Crystalline AlP2OsCl at its relaxed geometry, computed with PBE.

* calculated density: 5.5 Mg/m³

Cell lengths 4.662, 4.662, 4.381 Å; angles 90.00, 90.00, 90.00 degrees
Space group P4/mmm (No. 123)
Symmetry-distinct sites (fractional):
Al 0.000 0.000 0.000 [1 per cell]
P 0.000 0.500 0.000 [2 per cell]
Os 0.500 0.500 0.500 [1 per cell]
Cl 0.000 0.000 0.500 [1 per cell]



Version x
Crystalline AlP2OsCl at its relaxed geometry, computed with PBE.

* calculated density: 4.7 Mg/m³

Cell lengths 4.518, 4.518, 5.391 Å; angles 90.00, 90.00, 90.00 degrees
Space group P4/mmm (No. 123)
Symmetry-distinct sites (fractional):
Al 0.000 0.000 0.000 [1 per cell]
P 0.000 0.500 0.500 [2 per cell]
Os 0.500 0.500 0.500 [1 per cell]
Cl 0.500 0.500 0.000 [1 per cell]



Stability summary - winner: version x; margin: 66.1 kJ/mol of atoms.



Version w
Crystalline AlOsS2Cl at its relaxed geometry, computed with PBE.

* calculated density: 4.9 Mg/m³

Cell lengths 4.574, 4.574, 5.117 Å; angles 90.00, 90.00, 90.00 degrees
Space group P4/mmm (No. 123)
Symmetry-distinct sites (fractional):
Al 0.000 0.000 0.000 [1 per cell]
Os 0.500 0.500 0.500 [1 per cell]
S 0.000 0.500 0.500 [2 per cell]
Cl 0.500 0.500 0.000 [1 per cell]



Version x
Crystalline AlOsS2Cl at its relaxed geometry, computed with PBE.

* calculated density: 5.4 Mg/m³

Cell lengths 4.667, 4.667, 4.465 Å; angles 90.00, 90.00, 90.00 degrees
Space group P4/mmm (No. 123)
Symmetry-distinct sites (fractional):
Al 0.000 0.000 0.000 [1 per cell]
Os 0.500 0.500 0.500 [1 per cell]
S 0.000 0.500 0.000 [2 per cell]
Cl 0.000 0.000 0.500 [1 per cell]



Stability summary - winner: version w; margin: 46.9 kJ/mol of atoms.



Version w
Crystalline AlPCl4 at its relaxed geometry, computed with PBE.

* calculated density: 1.7 Mg/m³

Cell lengths 5.373, 5.373, 13.269 Å; angles 90.00, 90.00, 90.00 degrees
Space group P-42c (No. 112)
Symmetry-distinct sites (fractional):
Al 0.000 0.500 0.250 [2 per cell]
P 0.000 0.000 0.000 [2 per cell]
Cl 0.229 0.264 0.345 [8 per cell]



Version x
Crystalline AlPCl4 at its relaxed geometry, computed with PBE.

* calculated density: 2.2 Mg/m³

Cell lengths 8.457, 8.457, 8.457 Å; angles 90.00, 90.00, 90.00 degrees
Space group F-43m (No. 216)
Symmetry-distinct sites (fractional):
Al 0.000 0.000 0.000 [4 per cell]
P 0.250 0.250 0.250 [4 per cell]
Cl 0.125 0.125 0.625 [16 per cell]



Stability summary - winner: version w; margin: 145.2 kJ/mol of atoms.



Version w
Crystalline AlP3Cl at its relaxed geometry, computed with PBE.

* calculated density: 2.5 Mg/m³

Cell lengths 4.674, 4.674, 4.674 Å; angles 90.00, 90.00, 90.00 degrees
Space group Pm-3m (No. 221)
Symmetry-distinct sites (fractional):
Al 0.000 0.000 0.000 [1 per cell]
P 0.000 0.000 0.500 [3 per cell]
Cl 0.500 0.500 0.500 [1 per cell]



Version x
Crystalline AlP3Cl at its relaxed geometry, computed with PBE.

* calculated density: 2.7 Mg/m³

Cell lengths 4.579, 4.579, 4.579 Å; angles 90.00, 90.00, 90.00 degrees
Space group Pm-3m (No. 221)
Symmetry-distinct sites (fractional):
Al 0.000 0.000 0.000 [1 per cell]
P 0.000 0.500 0.500 [3 per cell]
Cl 0.500 0.500 0.500 [1 per cell]



Stability summary - winner: version w; margin: 49.4 kJ/mol of atoms.



Version w
Crystalline AlP2PbCl at its relaxed geometry, computed with PBE.

* calculated density: 3.1 Mg/m³

Cell lengths 5.576, 5.576, 5.640 Å; angles 90.00, 90.00, 90.00 degrees
Space group P4/mmm (No. 123)
Symmetry-distinct sites (fractional):
Al 0.000 0.000 0.000 [1 per cell]
P 0.000 0.500 0.500 [2 per cell]
Pb 0.500 0.500 0.500 [1 per cell]
Cl 0.500 0.500 0.000 [1 per cell]



Version x
Crystalline AlP2PbCl at its relaxed geometry, computed with PBE.

* calculated density: 5.0 Mg/m³

Cell lengths 4.727, 4.727, 4.932 Å; angles 90.00, 90.00, 90.00 degrees
Space group P4/mmm (No. 123)
Symmetry-distinct sites (fractional):
Al 0.000 0.000 0.000 [1 per cell]
P 0.000 0.500 0.000 [2 per cell]
Pb 0.500 0.500 0.500 [1 per cell]
Cl 0.000 0.000 0.500 [1 per cell]



Stability summary - winner: version x; margin: 82.4 kJ/mol of atoms.